Entry 1:
Below is a geometry-optimized Rb2SbS structure, with properties calculated at the PBE level.

It has space group Fm-3m (No. 225), with a = 8.492 Å, b = 8.492 Å, c = 8.492 Å, α = 90.00°, β = 90.00° and γ = 90.00°. The inequivalent atoms are Rb at (0.250, 0.250, 0.250), Sb at (0.000, 0.000, 0.000) and S at (0.000, 0.000, 0.500).

As for the formation energy from raw total energies: -116 meV/atom. As for the calculated total energy: -2.6627 eV per atom.

***

Entry 2:
Below is a geometry-optimized U2GeS5 structure, with properties calculated at the PBE level.

It has space group Pbam (No. 55), with a = 7.472 Å, b = 11.418 Å, c = 3.779 Å, α = 90.00°, β = 90.00° and γ = 90.00°. The inequivalent atoms are U at (0.022, 0.178, 0.000), Ge at (0.000, 0.500, 0.500), S at (0.000, 0.000, 0.500), S at (0.166, 0.396, 0.000) and S at (0.180, 0.694, 0.500).

As for the formation energy from raw total energies: -1057 meV/atom. As for the calculated total energy: -7.0358 eV per atom.

***

Entry 3:
Below is a geometry-optimized Y3Al3NiGe2 structure, with properties calculated at the PBE level.

It has space group P-62m (No. 189), with a = 6.9826 Å, b = 6.9826 Å, c = 4.1688 Å, α = 90.00°, β = 90.00° and γ = 120.00°. The inequivalent atoms are Y at (0.0000, 0.5966, 0.0000), Al at (0.0000, 0.2268, 0.5000), Ni at (0.0000, 0.0000, 0.0000) and Ge at (0.3333, 0.6667, 0.5000).

As for the calculated total energy: -5.8234 eV per atom.

***

Entry 4:
Below is a geometry-optimized AlCdP2O structure, with properties calculated at the PBE level.

It has space group P4/mmm (No. 123), with a = 5.039 Å, b = 5.039 Å, c = 3.990 Å, α = 90.00°, β = 90.00° and γ = 90.00°. The inequivalent atoms are Al at (0.000, 0.000, 0.000), Cd at (0.500, 0.500, 0.500), P at (0.000, 0.500, 0.500) and O at (0.500, 0.500, 0.000).

As for the formation energy from raw total energies: 861 meV/atom. As for the calculated total energy: -3.2258 eV per atom.

***

Entry 5:
Below is a geometry-optimized Dy2MnReN5 structure, with properties calculated at the PBE level.

It has space group Cmc2_1 (No. 36), with a = 3.225 Å, b = 14.164 Å, c = 9.332 Å, α = 90.00°, β = 90.00° and γ = 90.00°. The inequivalent atoms are Dy at (0.000, 0.120, 0.000), Dy at (0.000, 0.134, 0.372), Mn at (0.000, 0.219, 0.690), Re at (0.000, 0.428, 0.173), N at (0.000, 0.024, 0.758), N at (0.000, 0.303, 0.059), N at (0.000, 0.310, 0.328), N at (0.000, 0.351, 0.689) and N at (0.000, 0.483, 0.993).

As for the formation energy from raw total energies: -760 meV/atom. As for the calculated total energy: -8.8094 eV per atom.

***

Entry 6:
Below is a geometry-optimized AlPd12Au7 structure, with properties calculated at the PBE level.

It has space group R-3 (No. 148, hexagonal axes), with a = 11.8803 Å, b = 11.8803 Å, c = 8.2897 Å, α = 90.00°, β = 90.00° and γ = 120.00°. The inequivalent atoms are Al at (0.0000, 0.0000, 0.0000), Pd at (0.0523, 0.8099, 0.5787), Pd at (0.0563, 0.8365, 0.2547), Au at (0.0000, 0.0000, 0.5000) and Au at (0.0596, 0.8233, 0.9168).

As for the calculated total energy: -4.4877 eV per atom.

***

Entry 7:
Below is a geometry-optimized K4TeF structure, with properties calculated at the PBE level.

It has space group Pm (No. 6), with a = 6.131 Å, b = 5.276 Å, c = 8.538 Å, α = 90.00°, β = 110.44° and γ = 90.00°. The inequivalent atoms are K at (0.000, 0.000, 0.000), K at (0.218, 0.000, 0.481), K at (0.447, 0.500, 0.890), K at (0.678, 0.500, 0.466), Te at (0.593, 0.000, 0.192) and F at (0.320, 0.500, 0.568).

As for the formation energy from raw total energies: -1305 meV/atom. As for the calculated total energy: -2.8717 eV per atom.

***

Entry 8:
Below is a geometry-optimized MnTcRh2 structure, with properties calculated at the PBE level.

It has space group Pmm2 (No. 25), with a = 2.691 Å, b = 3.788 Å, c = 5.398 Å, α = 90.00°, β = 90.00° and γ = 90.00°. The inequivalent atoms are Mn at (0.000, 0.000, 0.000), Tc at (0.500, 0.500, 0.748), Rh at (0.000, 0.000, 0.504) and Rh at (0.500, 0.500, 0.232).

As for the calculated total energy: -8.5917 eV per atom.

***

Entry 9:
Below is a geometry-optimized Ti2TeAs2 structure, with properties calculated at the PBE level.

It has space group I4/mmm (No. 139), with a = 3.801 Å, b = 3.801 Å, c = 13.377 Å, α = 90.00°, β = 90.00° and γ = 90.00°. The inequivalent atoms are Ti at (0.000, 0.000, 0.111), Te at (0.000, 0.000, 0.500) and As at (0.000, 0.500, 0.250).

As for the formation energy from raw total energies: -475 meV/atom. As for the calculated total energy: -6.1212 eV per atom.

***

Entry 10:
Below is a geometry-optimized Sc2SiGe structure, with properties calculated at the PBE level.

It has space group R-3m (No. 166, hexagonal axes), with a = 3.4843 Å, b = 3.4843 Å, c = 22.8831 Å, α = 90.00°, β = 90.00° and γ = 120.00°. The inequivalent atoms are Sc at (0.0000, 0.0000, 0.2476), Si at (0.0000, 0.0000, 0.5000) and Ge at (0.0000, 0.0000, 0.0000).

As for the formation energy from raw total energies: -516 meV/atom. As for the calculated total energy: -6.1921 eV per atom.

***

Entry 11:
Below is a geometry-optimized Li6TlCd2H structure, with properties calculated at the PBE level.

It has space group C2/m (No. 12), with a = 9.023 Å, b = 8.935 Å, c = 6.371 Å, α = 90.00°, β = 134.65° and γ = 90.00°. The inequivalent atoms are Li at (0.000, 0.214, 0.000), Li at (0.214, 0.000, 0.433), Li at (0.215, 0.000, 0.000), Tl at (0.000, 0.500, 0.000), Cd at (0.000, 0.251, 0.500) and H at (0.000, 0.000, 0.000).

As for the calculated total energy: -1.9800 eV per atom.

***

Entry 12:
Below is a geometry-optimized Ba2MnTc structure, with properties calculated at the PBE level.

It has space group Imm2 (No. 44), with a = 3.967 Å, b = 5.443 Å, c = 11.528 Å, α = 90.00°, β = 90.00° and γ = 90.00°. The inequivalent atoms are Ba at (0.000, 0.000, 0.000), Ba at (0.000, 0.500, 0.212), Mn at (0.000, 0.500, 0.806) and Tc at (0.000, 0.000, 0.407).

As for the calculated total energy: -5.2310 eV per atom.

***

Entry 13:
Below is a geometry-optimized LaSc2AgHg4 structure, with properties calculated at the PBE level.

It has space group R-3m (No. 166, hexagonal axes), with a = 4.8934 Å, b = 4.8934 Å, c = 27.8182 Å, α = 90.00°, β = 90.00° and γ = 120.00°. The inequivalent atoms are La at (0.0000, 0.0000, 0.0000), Sc at (0.0000, 0.0000, 0.2343), Ag at (0.0000, 0.0000, 0.5000), Hg at (0.0000, 0.0000, 0.1250) and Hg at (0.0000, 0.0000, 0.3915).

As for the calculated total energy: -3.0241 eV per atom.

***

Entry 14:
Below is a geometry-optimized ReNi2Te structure, with properties calculated at the PBE level.

It has space group Cm (No. 8), with a = 8.424 Å, b = 3.147 Å, c = 4.565 Å, α = 90.00°, β = 102.81° and γ = 90.00°. The inequivalent atoms are Re at (0.000, 0.000, 0.000), Ni at (0.244, 0.500, 0.249), Ni at (0.486, 0.000, 0.444) and Te at (0.247, 0.000, 0.712).

As for the formation energy from raw total energies: 407 meV/atom. As for the calculated total energy: -6.3811 eV per atom.

***

Entry 15:
Below is a geometry-optimized Na7Tl2Hg2 structure, with properties calculated at the PBE level.

It has space group Imm2 (No. 44), with a = 4.991 Å, b = 15.181 Å, c = 8.525 Å, α = 90.00°, β = 90.00° and γ = 90.00°. The inequivalent atoms are Na at (0.000, 0.000, 0.000), Na at (0.000, 0.151, 0.342), Na at (0.000, 0.340, 0.569), Na at (0.000, 0.357, 0.141), Tl at (0.000, 0.000, 0.616), Tl at (0.000, 0.500, 0.833) and Hg at (0.000, 0.203, 0.858).

As for the calculated total energy: -1.4585 eV per atom.

***

Entry 16:
Below is a geometry-optimized Er6MgHg5 structure, with properties calculated at the PBE level.

It has space group Immm (No. 71), with a = 5.192 Å, b = 7.425 Å, c = 15.708 Å, α = 90.00°, β = 90.00° and γ = 90.00°. The inequivalent atoms are Er at (0.000, 0.241, 0.000), Er at (0.000, 0.252, 0.330), Mg at (0.000, 0.000, 0.500), Hg at (0.000, 0.000, 0.167), Hg at (0.000, 0.500, 0.153) and Hg at (0.000, 0.500, 0.500).

As for the calculated total energy: -2.9569 eV per atom.

***

Entry 17:
Below is a geometry-optimized PmZnCl5 structure, with properties calculated at the PBE level.

It has space group C2/c (No. 15), with a = 8.678 Å, b = 11.766 Å, c = 10.009 Å, α = 90.00°, β = 115.46° and γ = 90.00°. The inequivalent atoms are Pm at (0.000, 0.000, 0.000), Zn at (0.000, 0.302, 0.250), Cl at (0.000, 0.093, 0.750), Cl at (0.147, 0.195, 0.152) and Cl at (0.180, 0.419, 0.437).

As for the formation energy from raw total energies: -1763 meV/atom. As for the calculated total energy: -3.9430 eV per atom.

***

Entry 18:
Below is a geometry-optimized SnSbAuO2 structure, with properties calculated at the PBE level.

It has space group P4/mmm (No. 123), with a = 4.224 Å, b = 4.224 Å, c = 5.430 Å, α = 90.00°, β = 90.00° and γ = 90.00°. The inequivalent atoms are Sn at (0.000, 0.000, 0.000), Sb at (0.500, 0.500, 0.000), Au at (0.000, 0.000, 0.500) and O at (0.000, 0.500, 0.500).

As for the formation energy from raw total energies: 348 meV/atom. As for the calculated total energy: -3.9159 eV per atom.

***

Entry 19:
Below is a geometry-optimized La4Pr2Co structure, with properties calculated at the PBE level.

It has space group C2/m (No. 12), with a = 19.719 Å, b = 3.926 Å, c = 6.569 Å, α = 90.00°, β = 109.44° and γ = 90.00°. The inequivalent atoms are La at (0.086, 0.000, 0.243), La at (0.087, 0.500, 0.747), Pr at (0.247, 0.500, 0.257) and Co at (0.000, 0.000, 0.500).

As for the calculated total energy: -5.2088 eV per atom.

***

Entry 20:
Below is a geometry-optimized AcNi2Te structure, with properties calculated at the PBE level.

It has space group R-3m (No. 166, hexagonal axes), with a = 4.3428 Å, b = 4.3428 Å, c = 15.5309 Å, α = 90.00°, β = 90.00° and γ = 120.00°. The inequivalent atoms are Ac at (0.0000, 0.0000, 0.0000), Ni at (0.0000, 0.0000, 0.2021) and Te at (0.0000, 0.0000, 0.5000).

As for the formation energy from raw total energies: -460 meV/atom. As for the calculated total energy: -5.1629 eV per atom.

***

Number 1: total magnetization 2.99 μB per formula unit. Number 2: total magnetization 4.00 μB per formula unit. Number 3: total magnetization 0.00 μB per formula unit. Number 4: total magnetization 0.00 μB per formula unit. Number 5: total magnetization 2.55 μB per formula unit. Number 6: total magnetization 0.00 μB per formula unit. Number 7: total magnetization 0.38 μB per formula unit. Number 8: total magnetization 1.88 μB per formula unit. Number 9: total magnetization 0.44 μB per formula unit. Number 10: total magnetization 0.00 μB per formula unit. Number 11: total magnetization 0.00 μB per formula unit. Number 12: total magnetization 2.76 μB per formula unit. Number 13: total magnetization 0.00 μB per formula unit. Number 14: total magnetization 0.00 μB per formula unit. Number 15: total magnetization 0.00 μB per formula unit. Number 16: total magnetization 0.00 μB per formula unit. Number 17: total magnetization 0.00 μB per formula unit. Number 18: total magnetization 0.00 μB per formula unit. Number 19: total magnetization 0.00 μB per formula unit. Number 20: total magnetization 0.00 μB per formula unit.